[1]
A geometry-optimized DyErCdSi structure. Source: Alexandria, functional PBE-GGA.

Total magnetization ... 0.0000 μB/atom
N(E_F) ... 10.95 states/eV per cell
Energy relative to the elements, uncorrected ... -0.38 eV per atom

abc: 7.180 7.180 7.180
angles: 90.00 90.00 90.00
Space group F-43m (No. 216)
Symmetry-distinct sites (fractional):
Dy 0.000 0.000 0.000 [4 per cell]
Er 0.000 0.000 0.500 [4 per cell]
Cd 0.250 0.250 0.750 [4 per cell]
Si 0.250 0.250 0.250 [4 per cell]

=====

[2]
A geometry-optimized TlGaRe2Tc structure. Source: Alexandria, functional PBE-GGA.

Formation energy ... 2161 meV per atom
Total magnetization ... 0.9524 μB/atom
N(E_F) ... 4.43 states/eV per cell

abc: 4.611 4.611 4.816
angles: 90.00 90.00 90.00
Space group P4/mmm (No. 123)
Symmetry-distinct sites (fractional):
Tl 0.000 0.000 0.000 [1 per cell]
Ga 0.000 0.000 0.500 [1 per cell]
Re 0.000 0.500 0.500 [2 per cell]
Tc 0.500 0.500 0.000 [1 per cell]

=====

[3]
A geometry-optimized MgOsPb2 structure. Source: Alexandria, functional PBE-GGA.

Formation energy ... 563 meV per atom
Total magnetization ... 0.0000 μB/atom
N(E_F) ... 4.26 states/eV per cell

abc: 9.372 3.440 5.495
angles: 90.00 100.48 90.00
Space group C2/m (No. 12)
Symmetry-distinct sites (fractional):
Mg 0.000 0.000 0.000 [2 per cell]
Os 0.000 0.500 0.500 [2 per cell]
Pb 0.236 0.000 0.732 [4 per cell]

=====

[4]
A geometry-optimized As2IrBrCl structure. Source: Alexandria, functional PBE-GGA.

Total magnetization ... 0.0000 μB/atom
N(E_F) ... 5.62 states/eV per cell
Energy relative to the elements, uncorrected ... 0.40 eV per atom

abc: 4.813 4.813 5.267
angles: 90.00 90.00 90.00
Space group P4/mmm (No. 123)
Symmetry-distinct sites (fractional):
As 0.000 0.500 0.000 [2 per cell]
Ir 0.000 0.000 0.000 [1 per cell]
Br 0.000 0.000 0.500 [1 per cell]
Cl 0.500 0.500 0.500 [1 per cell]

=====

[5]
A geometry-optimized Np2CuAg3S6 structure. Source: Alexandria, functional PBE-GGA.

Total magnetization ... 0.4998 μB/atom
N(E_F) ... 28.13 states/eV per cell
Energy relative to the elements, uncorrected ... -0.63 eV per atom

abc: 6.660 11.900 6.491
angles: 90.00 100.05 90.00
Space group C2/m (No. 12)
Symmetry-distinct sites (fractional):
Np 0.000 0.163 0.000 [4 per cell]
Cu 0.000 0.500 0.000 [2 per cell]
Ag 0.000 0.000 0.500 [2 per cell]
Ag 0.000 0.259 0.500 [4 per cell]
S 0.197 0.338 0.223 [8 per cell]
S 0.216 0.000 0.218 [4 per cell]

=====

[6]
A geometry-optimized AcPm5Y3 structure. Source: Alexandria, functional PBE-GGA.

Formation energy ... 71 meV per atom
Total magnetization ... 0.0000 μB/atom
N(E_F) ... 59.11 states/eV per cell

abc: 15.477 10.097 9.198
angles: 90.00 119.63 90.00
Space group C2/c (No. 15)
Symmetry-distinct sites (fractional):
Ac 0.000 0.094 0.250 [4 per cell]
Pm 0.000 0.438 0.250 [4 per cell]
Pm 0.167 0.104 0.075 [8 per cell]
Pm 0.175 0.428 0.100 [8 per cell]
Y 0.084 0.254 0.665 [8 per cell]
Y 0.250 0.250 0.500 [4 per cell]

=====

[7]
A geometry-optimized LiLa2MgRh structure. Source: Alexandria, functional PBE-GGA.

Formation energy ... -217 meV per atom
Total magnetization ... 0.0000 μB/atom
N(E_F) ... 3.79 states/eV per cell

abc: 5.451 5.451 5.112
angles: 90.00 90.00 90.00
Space group P4/mmm (No. 123)
Symmetry-distinct sites (fractional):
Li 0.000 0.000 0.000 [1 per cell]
La 0.000 0.500 0.500 [2 per cell]
Mg 0.500 0.500 0.000 [1 per cell]
Rh 0.000 0.000 0.500 [1 per cell]

=====

[8]
A geometry-optimized YCrCo2 structure. Source: Alexandria, functional PBE-GGA.

Formation energy ... 141 meV per atom
Total magnetization ... 0.3199 μB/atom
N(E_F) ... 12.96 states/eV per cell

abc: 3.9653 3.9653 14.9484
angles: 90.00 90.00 120.00
Space group R3m (No. 160, hexagonal axes)
Symmetry-distinct sites (fractional):
Y 0.0000 0.0000 0.0000 [3 per cell]
Cr 0.0000 0.0000 0.1895 [3 per cell]
Co 0.0000 0.0000 0.5145 [3 per cell]
Co 0.0000 0.0000 0.8068 [3 per cell]

=====

[9]
A geometry-optimized LiNd4S6 structure. Source: Alexandria, functional PBE-GGA.

Total magnetization ... 0.0001 μB/atom
N(E_F) ... 30.16 states/eV per cell
Energy relative to the elements, uncorrected ... -1.92 eV per atom

abc: 11.1784 11.1784 13.4167
angles: 90.00 90.00 120.00
Space group R-3c (No. 167, hexagonal axes)
Symmetry-distinct sites (fractional):
Li 0.0000 0.0000 0.0000 [6 per cell]
Nd 0.0000 0.0000 0.2500 [6 per cell]
Nd 0.0000 0.3840 0.2500 [18 per cell]
S 0.0281 0.1996 0.3890 [36 per cell]

=====

[10]
A geometry-optimized LaCuAgSn2 structure. Source: Alexandria, functional PBE-GGA.

Formation energy ... -407 meV per atom
Total magnetization ... 0.0000 μB/atom
N(E_F) ... 3.10 states/eV per cell

abc: 4.550 4.550 11.472
angles: 90.00 90.00 90.00
Space group I-4m2 (No. 119)
Symmetry-distinct sites (fractional):
La 0.000 0.000 0.000 [2 per cell]
Cu 0.000 0.500 0.750 [2 per cell]
Ag 0.000 0.500 0.250 [2 per cell]
Sn 0.000 0.000 0.377 [4 per cell]

=====

[11]
A geometry-optimized Nd4Ga3Si structure. Source: Alexandria, functional PBE-GGA.

Total magnetization ... 0.0509 μB/atom
N(E_F) ... 7.03 states/eV per cell
Energy relative to the elements, uncorrected ... -0.64 eV per atom

abc: 4.091 4.477 11.312
angles: 90.00 90.00 90.00
Space group Pmm2 (No. 25)
Symmetry-distinct sites (fractional):
Nd 0.000 0.000 0.000 [1 per cell]
Nd 0.000 0.500 0.494 [1 per cell]
Nd 0.500 0.000 0.714 [1 per cell]
Nd 0.500 0.500 0.215 [1 per cell]
Ga 0.000 0.500 0.783 [1 per cell]
Ga 0.500 0.000 0.424 [1 per cell]
Ga 0.500 0.500 0.929 [1 per cell]
Si 0.000 0.000 0.284 [1 per cell]

=====

[12]
A geometry-optimized Er4Cd3Pt structure. Source: Alexandria, functional PBE-GGA.

Formation energy ... -562 meV per atom
Total magnetization ... 0.0000 μB/atom
N(E_F) ... 6.23 states/eV per cell

abc: 3.618 3.618 14.800
angles: 90.00 90.00 90.00
Space group P4/mmm (No. 123)
Symmetry-distinct sites (fractional):
Er 0.000 0.000 0.109 [2 per cell]
Er 0.000 0.000 0.370 [2 per cell]
Cd 0.500 0.500 0.243 [2 per cell]
Cd 0.500 0.500 0.500 [1 per cell]
Pt 0.500 0.500 0.000 [1 per cell]